(1)
CaMn2Cl6 (PBE-GGA, relaxed); symmetry = No. 12; energy above the lowest structure with this stoichiometry = 0.000 eV/atom; formation energy from raw total energies = -13.339 eV per formula unit
1.0
6.438 -2.032 0.000
6.438 2.032 0.000
-0.428 0.000 10.420
Ca Mn Cl
1 2 6
Direct
0.000 0.000 0.000
0.279 0.279 0.281
0.721 0.721 0.719
0.102 0.102 0.233
0.166 0.166 0.616
0.370 0.370 0.080
0.630 0.630 0.920
0.834 0.834 0.384
0.898 0.898 0.767

***

(2)
Ce2PmTmAs4 (PBE-GGA, relaxed); symmetry = No. 10; E_form = -1.4668 eV per atom
1.0
7.238 0.000 0.000
0.000 4.186 0.000
-2.421 0.000 6.836
Ce Pm Tm As
2 1 1 4
Direct
0.000 0.000 0.000
0.000 0.500 0.500
0.500 0.000 0.500
0.500 0.500 0.000
0.250 0.500 0.245
0.254 0.000 0.757
0.746 0.000 0.243
0.750 0.500 0.755

***

(3)
NaZn2Ru (PBE-GGA, relaxed); symmetry = No. 123; E_form = 0.1039 eV per atom; energy above the lowest structure with this stoichiometry = 0.000 eV/atom
1.0
3.200 0.000 0.000
0.000 3.200 0.000
0.000 0.000 6.791
Na Zn Ru
1 2 1
Direct
0.000 0.000 0.000
0.500 0.500 0.310
0.500 0.500 0.690
0.000 0.000 0.500